# 1
V2O3F: single point on PBEsol structure, SCAN.

Cell lengths 4.604, 5.736, 9.649 Å; angles 72.83, 88.41, 90.15 degrees
Last column: magnetic moment on the atom in μB.
Fractional positions:
V (0.513, 0.860, 0.746)  1.52
V (0.986, 0.496, 0.991)  1.59
V (0.002, 0.233, 0.507)  1.72
V (0.530, 0.391, 0.751)  1.58
V (0.458, 0.145, 0.233)  1.34
V (0.538, 0.604, 0.271)  1.36
V (0.015, 0.764, 0.494)  1.75
V (0.954, 0.007, 0.005)  1.54
O (0.298, 0.321, 0.354)  -0.07
O (0.699, 0.427, 0.149)  -0.08
O (0.717, 0.679, 0.645)  -0.09
O (0.694, 0.172, 0.655)  -0.08
O (0.801, 0.802, 0.902)  -0.09
O (0.190, 0.202, 0.096)  -0.11
O (0.789, 0.299, 0.898)  -0.10
O (0.690, 0.920, 0.157)  -0.08
O (0.816, 0.541, 0.408)  -0.08
O (0.313, 0.828, 0.346)  -0.06
O (0.210, 0.946, 0.604)  -0.11
O (0.297, 0.572, 0.849)  -0.10
F (0.794, 0.056, 0.393)  0.01
F (0.209, 0.451, 0.601)  0.01
F (0.192, 0.704, 0.097)  0.01
F (0.296, 0.078, 0.850)  0.01

Computed properties:
distance to the lowest polymorph of the same formula: 0.090 eV per formula unit
space group: P1, No. 1

***

# 2
V4O3F9: single point on PBEsol structure, SCAN.

Cell lengths 5.237, 5.343, 7.135 Å; angles 91.96, 90.00, 90.00 degrees
Last column: magnetic moment on the atom in μB.
Fractional positions:
F (0.796, 0.708, 0.709)  0.02
F (0.201, 0.705, 0.215)  0.02
F (0.292, 0.797, 0.787)  0.02
F (0.201, 0.295, 0.785)  0.02
F (0.292, 0.203, 0.213)  0.02
F (0.087, 0.000, 0.500)  -0.01
F (0.796, 0.292, 0.291)  0.02
F (0.707, 0.204, 0.708)  0.02
F (0.707, 0.796, 0.292)  0.02
V (0.498, 0.499, 0.250)  1.18
V (0.993, 0.000, 0.239)  1.43
V (0.498, 0.501, 0.750)  1.18
V (0.993, 0.000, 0.761)  1.43
O (0.555, 0.500, 0.000)  -0.15
O (0.445, 0.500, 0.500)  -0.15
O (0.938, 0.000, 0.000)  -0.19

Computed properties:
distance to the lowest polymorph of the same formula: 0.647 eV per formula unit
space group: P2, No. 3

***

# 3
V3O2F6: single point on PBEsol structure, SCAN.

Cell lengths 5.065, 7.065, 7.395 Å; angles 101.69, 91.35, 90.21 degrees
Last column: magnetic moment on the atom in μB.
Fractional positions:
V (0.250, 0.685, 0.312)  1.80
V (0.765, 0.831, 0.676)  1.58
V (0.235, 0.169, 0.324)  1.58
V (0.709, 0.339, 0.187)  1.64
V (0.291, 0.661, 0.813)  1.64
V (0.750, 0.315, 0.688)  1.80
F (0.551, 0.090, 0.188)  0.03
F (0.420, 0.217, 0.559)  0.02
F (0.580, 0.783, 0.441)  0.02
F (0.919, 0.570, 0.204)  0.01
F (0.030, 0.194, 0.108)  0.00
F (0.100, 0.688, 0.567)  0.01
F (0.081, 0.430, 0.796)  0.01
F (0.900, 0.312, 0.433)  0.01
F (0.614, 0.325, 0.935)  0.04
F (0.386, 0.675, 0.065)  0.04
F (0.449, 0.910, 0.812)  0.03
F (0.970, 0.806, 0.892)  0.00
O (0.846, 0.067, 0.675)  -0.22
O (0.404, 0.430, 0.294)  -0.12
O (0.154, 0.933, 0.325)  -0.22
O (0.596, 0.570, 0.706)  -0.12

Computed properties:
distance to the lowest polymorph of the same formula: 0.227 eV per formula unit
space group: P-1, No. 2

***

# 4
V4O3F9: single point on PBEsol structure, SCAN.

Cell lengths 5.175, 5.273, 17.105 Å; angles 82.76, 81.64, 60.43 degrees
Last column: magnetic moment on the atom in μB.
Fractional positions:
V (0.669, 0.617, 0.122)  1.36
V (0.005, 0.965, 0.002)  1.42
V (0.106, 0.154, 0.628)  1.29
V (0.485, 0.512, 0.491)  1.18
V (0.880, 0.902, 0.381)  1.22
V (0.387, 0.331, 0.870)  1.30
V (0.238, 0.272, 0.245)  1.38
V (0.748, 0.742, 0.749)  1.53
F (0.742, 0.326, 0.581)  0.01
F (0.519, 0.946, 0.186)  0.01
F (0.998, 0.570, 0.836)  0.01
F (0.043, 0.048, 0.291)  0.02
F (0.494, 0.922, 0.665)  0.01
F (0.764, 0.158, 0.916)  0.02
F (0.507, 0.076, 0.329)  -0.01
F (0.695, 0.725, 0.460)  0.03
F (0.273, 0.825, 0.082)  0.01
F (0.743, 0.303, 0.062)  0.01
F (0.462, 0.464, 0.208)  0.00
F (0.990, 0.567, 0.316)  0.01
F (0.235, 0.813, 0.566)  -0.01
F (0.529, 0.543, 0.792)  0.01
F (0.962, 0.947, 0.707)  0.01
F (0.274, 0.303, 0.541)  0.03
F (0.220, 0.192, 0.960)  0.01
F (0.284, 0.668, 0.935)  0.01
O (0.216, 0.701, 0.424)  -0.20
O (0.993, 0.427, 0.173)  -0.21
O (0.727, 0.214, 0.434)  -0.20
O (0.823, 0.781, 0.046)  -0.20
O (0.500, 0.054, 0.812)  -0.19
O (0.992, 0.432, 0.687)  -0.19

Computed properties:
distance to the lowest polymorph of the same formula: 0.000 eV per formula unit
space group: P1, No. 1

***

# 5
V3O4F2: single point on PBEsol structure, SCAN.

Cell lengths 4.943, 5.394, 8.777 Å; angles 71.55, 75.19, 63.92 degrees
Last column: magnetic moment on the atom in μB.
Fractional positions:
O (0.771, 0.473, 0.290)  -0.09
O (0.274, 0.665, 0.120)  -0.09
O (0.271, 0.974, 0.790)  -0.09
O (0.197, 0.492, 0.753)  -0.12
O (0.277, 0.327, 0.462)  -0.08
O (0.777, 0.827, 0.962)  -0.08
O (0.774, 0.165, 0.620)  -0.09
O (0.696, 0.992, 0.253)  -0.12
V (0.024, 0.629, 0.313)  1.54
V (0.523, 0.834, 0.164)  1.74
V (0.207, 0.649, 0.916)  1.80
V (0.524, 0.129, 0.813)  1.54
V (0.023, 0.334, 0.664)  1.74
V (0.707, 0.149, 0.417)  1.80
F (0.176, 0.896, 0.358)  0.02
F (0.676, 0.396, 0.858)  0.02
F (0.762, 0.716, 0.538)  0.02
F (0.262, 0.216, 0.038)  0.02

Computed properties:
distance to the lowest polymorph of the same formula: 0.648 eV per formula unit
space group: P1, No. 1

***

# 6
V2O3F: single point on PBEsol structure, SCAN.

Cell lengths 4.627, 4.627, 11.423 Å; angles 90.00, 90.00, 93.44 degrees
Last column: magnetic moment on the atom in μB.
Fractional positions:
V (0.500, 0.500, 0.000)  1.78
V (0.500, 0.500, 0.500)  1.78
V (0.970, 0.030, 0.374)  1.41
V (0.481, 0.519, 0.750)  1.60
V (0.030, 0.970, 0.874)  1.41
V (0.519, 0.481, 0.250)  1.60
V (0.970, 0.030, 0.126)  1.41
V (0.030, 0.970, 0.626)  1.41
O (0.199, 0.199, 0.500)  -0.09
O (0.208, 0.198, 0.750)  -0.09
O (0.697, 0.303, 0.126)  -0.09
O (0.801, 0.801, 0.000)  -0.09
O (0.303, 0.697, 0.874)  -0.09
O (0.303, 0.697, 0.626)  -0.09
O (0.199, 0.199, 0.000)  -0.09
O (0.198, 0.208, 0.250)  -0.09
O (0.802, 0.792, 0.750)  -0.09
O (0.697, 0.303, 0.374)  -0.09
O (0.801, 0.801, 0.500)  -0.09
O (0.792, 0.802, 0.250)  -0.09
F (0.705, 0.295, 0.875)  0.02
F (0.295, 0.705, 0.125)  0.02
F (0.705, 0.295, 0.625)  0.02
F (0.295, 0.705, 0.375)  0.02

Computed properties:
distance to the lowest polymorph of the same formula: 0.085 eV per formula unit
space group: Cmcm, No. 63

***

# 7
V3O4F2: single point on PBEsol structure, SCAN.

Cell lengths 4.554, 4.554, 8.883 Å; angles 90.00, 90.00, 90.00 degrees
Last column: magnetic moment on the atom in μB.
Fractional positions:
V (0.500, 0.500, 0.522)  1.64
V (0.000, 0.000, 0.334)  1.74
V (0.000, 0.000, 0.022)  1.64
V (0.500, 0.500, 0.834)  1.74
V (0.500, 0.500, 0.145)  1.64
V (0.000, 0.000, 0.645)  1.64
O (0.296, 0.296, 0.672)  -0.08
O (0.704, 0.704, 0.672)  -0.08
O (0.796, 0.204, 0.496)  -0.08
O (0.296, 0.296, 0.996)  -0.08
O (0.796, 0.204, 0.172)  -0.08
O (0.204, 0.796, 0.172)  -0.08
O (0.204, 0.796, 0.496)  -0.08
O (0.704, 0.704, 0.996)  -0.08
F (0.693, 0.693, 0.334)  0.01
F (0.193, 0.807, 0.834)  0.01
F (0.307, 0.307, 0.334)  0.01
F (0.807, 0.193, 0.834)  0.01

Computed properties:
distance to the lowest polymorph of the same formula: 0.208 eV per formula unit
space group: P4_2/mnm, No. 136

***

# 8
V3OF11: single point on PBEsol structure, SCAN.

Cell lengths 5.039, 5.242, 14.809 Å; angles 79.70, 89.81, 88.78 degrees
Last column: magnetic moment on the atom in μB.
Fractional positions:
V (0.008, 0.331, 0.333)  1.00
V (0.500, 0.500, 0.000)  0.00
V (0.492, 0.169, 0.666)  1.00
V (0.992, 0.669, 0.667)  1.00
V (0.508, 0.831, 0.334)  1.00
V (0.000, 0.000, 0.000)  0.00
O (0.248, 0.754, 0.989)  0.00
O (0.752, 0.246, 0.011)  0.00
F (0.320, 0.535, 0.307)  0.02
F (0.909, 0.020, 0.884)  0.00
F (0.100, 0.575, 0.779)  -0.05
F (0.603, 0.242, 0.554)  -0.05
F (0.388, 0.102, 0.779)  -0.05
F (0.695, 0.125, 0.360)  0.02
F (0.252, 0.267, 0.964)  0.00
F (0.680, 0.465, 0.693)  0.02
F (0.612, 0.898, 0.221)  -0.05
F (0.108, 0.242, 0.447)  -0.05
F (0.892, 0.758, 0.553)  -0.05
F (0.900, 0.425, 0.221)  -0.05
F (0.590, 0.598, 0.884)  0.00
F (0.410, 0.402, 0.116)  0.00
F (0.194, 0.039, 0.302)  0.03
F (0.305, 0.875, 0.640)  0.02
F (0.179, 0.376, 0.634)  0.03
F (0.748, 0.733, 0.036)  0.00
F (0.821, 0.624, 0.366)  0.03
F (0.091, 0.980, 0.116)  0.00
F (0.806, 0.961, 0.698)  0.03
F (0.397, 0.758, 0.446)  -0.05

Computed properties:
distance to the lowest polymorph of the same formula: 0.690 eV per formula unit
space group: P-1, No. 2

***

# 9
V3O2F6: single point on PBEsol structure, SCAN.

Cell lengths 4.688, 5.371, 9.858 Å; angles 95.04, 90.00, 90.00 degrees
Last column: magnetic moment on the atom in μB.
Fractional positions:
F (0.530, 0.026, 0.695)  0.01
F (0.925, 0.214, 0.072)  0.01
F (0.934, 0.692, 0.576)  -0.01
F (0.566, 0.308, 0.424)  0.00
F (0.470, 0.026, 0.195)  0.01
F (0.075, 0.214, 0.572)  0.01
F (0.575, 0.786, 0.928)  0.00
F (0.434, 0.308, 0.924)  0.00
F (0.970, 0.974, 0.305)  0.01
F (0.066, 0.692, 0.076)  -0.01
F (0.425, 0.786, 0.428)  0.00
F (0.030, 0.974, 0.805)  0.01
O (0.063, 0.472, 0.322)  -0.11
O (0.937, 0.472, 0.822)  -0.11
O (0.563, 0.528, 0.178)  -0.08
O (0.437, 0.528, 0.678)  -0.08
V (0.250, 0.500, 0.500)  1.75
V (0.732, 0.732, 0.746)  1.61
V (0.268, 0.732, 0.246)  1.61
V (0.232, 0.268, 0.754)  1.61
V (0.768, 0.268, 0.254)  1.61
V (0.750, 0.500, 0.000)  1.75

Computed properties:
distance to the lowest polymorph of the same formula: 0.000 eV per formula unit
space group: P2_1/c, No. 14

***

# 10
VOF3: single point on PBEsol structure, SCAN.

Cell lengths 5.351, 7.215, 8.044 Å; angles 90.00, 90.00, 90.00 degrees
Fractional positions:
F (0.715, 0.568, 0.552)
F (0.113, 0.754, 0.004)
F (0.285, 0.068, 0.552)
F (0.273, 0.432, 0.413)
F (0.887, 0.246, 0.504)
F (0.715, 0.932, 0.052)
F (0.727, 0.932, 0.413)
F (0.273, 0.068, 0.913)
F (0.727, 0.568, 0.913)
F (0.285, 0.432, 0.052)
F (0.887, 0.254, 0.004)
F (0.113, 0.746, 0.504)
V (0.979, 0.513, 0.040)
V (0.979, 0.987, 0.540)
V (0.021, 0.013, 0.040)
V (0.021, 0.487, 0.540)
O (0.885, 0.967, 0.725)
O (0.115, 0.033, 0.225)
O (0.115, 0.467, 0.725)
O (0.885, 0.533, 0.225)

Computed properties:
space group: Pca2_1, No. 29

***

# 11
VOF3: single point on PBEsol structure, SCAN.

Cell lengths 5.455, 5.161, 5.165 Å; angles 115.18, 90.00, 90.00 degrees
Fractional positions:
F (0.021, 0.549, 0.932)
F (0.521, 0.451, 0.068)
F (0.790, 0.011, 0.003)
F (0.538, 0.070, 0.451)
F (0.038, 0.930, 0.549)
F (0.290, 0.989, 0.997)
V (0.439, 0.275, 0.277)
V (0.939, 0.725, 0.723)
O (0.712, 0.541, 0.533)
O (0.212, 0.459, 0.467)

Computed properties:
space group: P2_1, No. 4

***

# 12
V3O5F: single point on PBEsol structure, SCAN.

Cell lengths 4.555, 5.396, 7.331 Å; angles 96.09, 90.00, 90.00 degrees
Last column: magnetic moment on the atom in μB.
Fractional positions:
O (0.203, 0.386, 0.936)  -0.11
O (0.703, 0.614, 0.064)  -0.11
O (0.804, 0.113, 0.069)  -0.08
O (0.705, 0.286, 0.739)  -0.10
O (0.295, 0.551, 0.598)  -0.09
O (0.304, 0.887, 0.931)  -0.08
O (0.205, 0.714, 0.261)  -0.10
O (0.192, 0.045, 0.601)  -0.09
O (0.795, 0.449, 0.402)  -0.09
O (0.692, 0.955, 0.399)  -0.09
F (0.300, 0.215, 0.270)  0.01
F (0.800, 0.785, 0.730)  0.01
V (0.970, 0.420, 0.167)  1.48
V (0.470, 0.580, 0.833)  1.48
V (0.511, 0.249, 0.523)  1.33
V (0.019, 0.101, 0.841)  1.44
V (0.011, 0.751, 0.477)  1.33
V (0.519, 0.899, 0.159)  1.44

Computed properties:
distance to the lowest polymorph of the same formula: 0.000 eV per formula unit
space group: P2_1, No. 4

***

# 13
V2O2F3: single point on PBEsol structure, SCAN.

Cell lengths 4.984, 5.429, 6.988 Å; angles 109.11, 90.00, 117.32 degrees
Last column: magnetic moment on the atom in μB.
Fractional positions:
O (0.118, 0.565, 0.346)  -0.12
O (0.548, 0.426, 0.152)  -0.12
O (0.878, 0.426, 0.652)  -0.12
O (0.447, 0.565, 0.846)  -0.12
F (0.936, 0.234, 0.954)  0.01
F (0.059, 0.757, 0.044)  0.01
F (0.625, 0.996, 0.249)  0.01
F (0.298, 0.234, 0.454)  0.01
F (0.371, 0.996, 0.749)  0.01
F (0.698, 0.757, 0.544)  0.01
V (0.685, 0.404, 0.883)  1.54
V (0.310, 0.587, 0.114)  1.54
V (0.277, 0.587, 0.614)  1.54
V (0.719, 0.404, 0.383)  1.54

Computed properties:
distance to the lowest polymorph of the same formula: 0.000 eV per formula unit
space group: C2/c, No. 15

***

# 14
V3OF7: single point on PBEsol structure, SCAN.

Cell lengths 3.896, 7.744, 9.726 Å; angles 90.00, 90.00, 104.57 degrees
Last column: magnetic moment on the atom in μB.
Fractional positions:
V (0.040, 0.080, 0.750)  1.89
V (0.821, 0.642, 0.573)  1.99
V (0.179, 0.358, 0.073)  1.99
V (0.960, 0.920, 0.250)  1.89
V (0.821, 0.642, 0.927)  1.99
V (0.179, 0.358, 0.427)  1.99
F (0.302, 0.605, 0.965)  0.02
F (0.135, 0.270, 0.883)  0.01
F (0.947, 0.894, 0.888)  0.02
F (0.947, 0.894, 0.612)  0.02
F (0.462, 0.924, 0.250)  0.01
F (0.053, 0.106, 0.112)  0.02
F (0.698, 0.395, 0.465)  0.02
F (0.538, 0.076, 0.750)  0.01
F (0.698, 0.395, 0.035)  0.02
F (0.135, 0.270, 0.617)  0.01
F (0.053, 0.106, 0.388)  0.02
F (0.865, 0.730, 0.117)  0.01
F (0.302, 0.605, 0.535)  0.02
F (0.865, 0.730, 0.383)  0.01
O (0.206, 0.413, 0.250)  -0.27
O (0.794, 0.587, 0.750)  -0.27

Computed properties:
space group: Cmcm, No. 63

***

# 15
VOF3: single point on PBEsol structure, SCAN.

Cell lengths 4.883, 5.097, 11.631 Å; angles 90.00, 90.00, 90.00 degrees
Fractional positions:
V (0.500, 0.000, 0.935)
V (0.500, 0.500, 0.435)
V (0.000, 0.500, 0.585)
V (0.000, 0.000, 0.085)
F (0.825, 0.291, 0.452)
F (0.871, 0.227, 0.180)
F (0.427, 0.235, 0.831)
F (0.129, 0.727, 0.680)
F (0.175, 0.791, 0.952)
F (0.825, 0.209, 0.952)
F (0.573, 0.765, 0.831)
F (0.427, 0.265, 0.331)
F (0.129, 0.773, 0.180)
F (0.175, 0.709, 0.452)
F (0.573, 0.735, 0.331)
F (0.871, 0.273, 0.680)
O (0.701, 0.830, 0.044)
O (0.299, 0.170, 0.044)
O (0.299, 0.330, 0.544)
O (0.701, 0.670, 0.544)

Computed properties:
space group: Pnc2, No. 30

***

| no. | formation energy without anion corrections (eV/atom) | energy (eV/atom) |
| --- | --- | --- |
| 1 | -2.80 | -12.33 |
| 2 | -2.99 | -10.53 |
| 3 | -3.01 | -10.85 |
| 4 | -3.04 | -10.57 |
| 5 | -2.80 | -12.18 |
| 6 | -2.80 | -12.33 |
| 7 | -2.85 | -12.23 |
| 8 | -2.89 | -9.40 |
| 9 | -3.03 | -10.87 |
| 10 | -2.75 | -9.62 |
| 11 | -2.78 | -9.65 |
| 12 | -2.76 | -12.45 |
| 13 | -2.94 | -11.24 |
| 14 | -3.09 | -10.68 |
| 15 | -2.68 | -9.55 |